1.
This record from Alexandria via LeMat-Bulk describes a relaxed K2Pr2TiS6 crystal. The functional is PBE.

Cell lengths 6.895, 6.895, 7.876 Å; angles 98.76, 98.76, 118.98 degrees
Fractional positions:
K (0.171, 0.829, 0.000)
K (0.829, 0.171, 0.000)
Pr (0.334, 0.666, 0.500)
Pr (0.666, 0.334, 0.500)
Ti (0.000, 0.000, 0.500)
S (0.066, 0.364, 0.694)
S (0.224, 0.224, 0.309)
S (0.364, 0.066, 0.694)
S (0.636, 0.934, 0.306)
S (0.776, 0.776, 0.691)
S (0.934, 0.636, 0.306)

symmetry	No. 12
ρ	3.2	g/cm3
energy relative to the elements, uncorrected	-1.63	eV per atom

---

2.
This record from Alexandria via LeMat-Bulk describes a relaxed Tb2DyZrP4 crystal. The functional is PBE.

Cell lengths 6.825, 3.937, 6.827 Å; angles 90.00, 109.28, 90.00 degrees
Fractional positions:
Tb (0.000, 0.000, 0.000)
Tb (0.500, 0.500, 0.000)
Dy (0.000, 0.500, 0.500)
Zr (0.500, 0.000, 0.500)
P (0.255, 0.000, 0.743)
P (0.261, 0.500, 0.262)
P (0.739, 0.500, 0.738)
P (0.745, 0.000, 0.257)

symmetry	No. 10
energy	-7.06	eV per atom
ρ	6.7	g/cm3

---

3.
This record from Alexandria via LeMat-Bulk describes a relaxed Ba2MnTcHg crystal. The functional is PBE.

Cell lengths 6.417, 6.417, 5.157 Å; angles 90.00, 90.00, 90.00 degrees
Fractional positions:
Ba (0.000, 0.500, 0.000)
Ba (0.500, 0.000, 0.000)
Mn (0.000, 0.000, 0.500)
Tc (0.500, 0.500, 0.500)
Hg (0.500, 0.500, 0.000)

symmetry	No. 123
energy	-3.69	eV per atom
ρ	4.9	g/cm3

---

- What is the ρ in the first record?
  3.2 g/cm3